# La5GaSn2

An optimized crystal structure of La5GaSn2 (PBE, Alexandria).

Cell: 12.689 12.689 6.326 Å, 90.00 90.00 90.00°
Space group I4/mcm (No. 140)
One atom of each set of equivalent atoms:
La: 0.000 0.500 0.250 x4
La: 0.082 0.213 0.000 x16
Ga: 0.000 0.000 0.250 x4
Sn: 0.161 0.339 0.500 x8

Computed properties:
Electronic total energy, eV for the cell shown: -162.84
Fermi-level density of states, states/eV/f.u.: 9.517

# LaNd4Sc2

An optimized crystal structure of LaNd4Sc2 (PBE, Alexandria).

Cell: 8.735 6.518 8.991 Å, 90.00 116.87 90.00°
Space group P2_1/m (No. 11)
One atom of each set of equivalent atoms:
La: 0.247 0.250 0.260 x2
Nd: 0.010 0.750 0.567 x2
Nd: 0.053 0.250 0.828 x2
Nd: 0.406 0.008 0.772 x4
Sc: 0.205 0.750 0.002 x2
Sc: 0.367 0.750 0.421 x2

Computed properties:
Electronic total energy, eV for the cell shown: -70.90
Offset from the most stable computed form, kJ/mol of atoms: 0.0
Fermi-level density of states, states/eV/f.u.: 13.104

# MgIn2H2

An optimized crystal structure of MgIn2H2 (PBE, Alexandria).

Cell: 3.496 3.496 13.899 Å, 90.00 90.00 90.00°
Space group I4/mmm (No. 139)
One atom of each set of equivalent atoms:
Mg: 0.000 0.000 0.000 x2
In: 0.000 0.000 0.352 x4
H: 0.000 0.500 0.250 x4

Computed properties:
Electronic total energy, eV for the cell shown: -24.81
Offset from the most stable computed form, kJ/mol of atoms: 10.2
Fermi-level density of states, states/eV/f.u.: 1.693

# SmHgAu

An optimized crystal structure of SmHgAu (PBE, Alexandria).

Cell: 5.1950 5.1950 6.2052 Å, 90.00 90.00 120.00°
Space group P6_3/mmc (No. 194)
One atom of each set of equivalent atoms:
Sm: 0.3333 0.6667 0.2500 x2
Hg: 0.0000 0.0000 0.0000 x2
Au: 0.3333 0.6667 0.7500 x2

Computed properties:
Electronic total energy, eV for the cell shown: -20.50
Fermi-level density of states, states/eV/f.u.: 2.901

# SrTaNO2

An optimized crystal structure of SrTaNO2 (PBE, Alexandria).

Cell: 11.529 8.085 5.808 Å, 90.00 90.12 90.00°
Space group C2/m (No. 12)
One atom of each set of equivalent atoms:
Sr: 0.000 0.246 0.000 x4
Sr: 0.250 0.250 0.500 x4
Ta: 0.000 0.000 0.500 x2
Ta: 0.000 0.500 0.500 x2
Ta: 0.248 0.500 0.024 x4
N: 0.116 0.500 0.230 x4
N: 0.125 0.000 0.753 x4
O: 0.000 0.250 0.500 x4
O: 0.124 0.000 0.258 x4
O: 0.135 0.500 0.722 x4
O: 0.250 0.250 0.000 x4

Computed properties:
Formation energy (no corrections), meV per atom: -2386.4
Electronic total energy, eV for the cell shown: -349.67

# Er2Cu5Si3

An optimized crystal structure of Er2Cu5Si3 (PBE, Alexandria).

Cell: 3.976 3.976 10.090 Å, 90.00 90.00 90.00°
Space group P-4m2 (No. 115)
One atom of each set of equivalent atoms:
Er: 0.000 0.500 0.247 x2
Cu: 0.000 0.000 0.000 x1
Cu: 0.000 0.000 0.500 x1
Cu: 0.000 0.500 0.861 x2
Cu: 0.500 0.500 0.000 x1
Si: 0.000 0.500 0.638 x2
Si: 0.500 0.500 0.500 x1

Computed properties:
Formation energy (no corrections), meV per atom: -263.8
Electronic total energy, eV for the cell shown: -48.51
Fermi-level density of states, states/eV/f.u.: 3.682